## Gd2DyHg (PBE-GGA)

Data for a relaxed Gd2DyHg crystal. Values from VASP.

Geometry as Quantum ESPRESSO input:
```
&SYSTEM
  ibrav = 0, nat = 4, ntyp = 3
/
ATOMIC_SPECIES
Gd 157.25 Gd.upf
Dy 162.50 Dy.upf
Hg 200.59 Hg.upf
ATOMIC_POSITIONS crystal
Gd 0.088 0.088 0.088
Gd 0.912 0.912 0.912
Dy 0.500 0.500 0.500
Hg 0.000 0.000 0.000
CELL_PARAMETERS angstrom
1.760 1.016 11.986
-1.760 1.016 11.986
0.000 -2.032 11.986
```

## Properties
Energy of formation   0.0998 eV per atom
Total energy   -8.17 eV/atom
Spin magnetization   3.726 μB/atom
DOS(E_F)   1.234 states/eV/atom
Symmetry   R-3m

## Gd2DyHg (PBE-GGA)

Data for a relaxed Gd2DyHg crystal. Values from VASP.

Geometry as Quantum ESPRESSO input:
```
&SYSTEM
  ibrav = 0, nat = 4, ntyp = 3
/
ATOMIC_SPECIES
Gd 157.25 Gd.upf
Dy 162.50 Dy.upf
Hg 200.59 Hg.upf
ATOMIC_POSITIONS crystal
Gd 0.000 0.000 0.224
Gd 0.000 0.000 0.776
Dy 0.500 0.500 0.500
Hg 0.500 0.500 0.000
CELL_PARAMETERS angstrom
3.622 0.000 0.000
0.000 3.622 0.000
0.000 0.000 8.983
```

## Properties
Energy of formation   -0.2258 eV per atom
Total energy   -8.49 eV/atom
Spin magnetization   3.720 μB/atom
DOS(E_F)   1.475 states/eV/atom
Symmetry   P4/mmm

## GdDyHg (PBE-GGA)

Data for a relaxed GdDyHg crystal. Values from VASP.

Geometry as Quantum ESPRESSO input:
```
&SYSTEM
  ibrav = 0, nat = 3, ntyp = 3
/
ATOMIC_SPECIES
Gd 157.25 Gd.upf
Dy 162.50 Dy.upf
Hg 200.59 Hg.upf
ATOMIC_POSITIONS crystal
Gd 0.000 0.000 0.000
Dy 0.694 0.694 0.000
Hg 0.342 0.342 0.000
CELL_PARAMETERS angstrom
-1.831 1.831 6.341
1.831 -1.831 6.341
1.831 1.831 -6.341
```

## Properties
Energy of formation   -0.3212 eV per atom
Total energy   -6.65 eV/atom
Spin magnetization   2.714 μB/atom
DOS(E_F)   1.077 states/eV/atom
Symmetry   I4mm

## GdDyHg (PBE-GGA)

Data for a relaxed GdDyHg crystal. Values from VASP.

Geometry as Quantum ESPRESSO input:
```
&SYSTEM
  ibrav = 0, nat = 3, ntyp = 3
/
ATOMIC_SPECIES
Gd 157.25 Gd.upf
Dy 162.50 Dy.upf
Hg 200.59 Hg.upf
ATOMIC_POSITIONS crystal
Gd 0.000 0.000 0.000
Dy 0.500 0.500 0.500
Hg 0.250 0.250 0.250
CELL_PARAMETERS angstrom
0.000 3.619 3.619
3.619 0.000 3.619
3.619 3.619 0.000
```

## Properties
Energy of formation   -0.1240 eV per atom
Total energy   -6.45 eV/atom
Spin magnetization   2.640 μB/atom
DOS(E_F)   1.523 states/eV/atom
Symmetry   F-43m

## Gd2DyHg (PBE-GGA)

Data for a relaxed Gd2DyHg crystal. Values from VASP.

Geometry as Quantum ESPRESSO input:
```
&SYSTEM
  ibrav = 0, nat = 4, ntyp = 3
/
ATOMIC_SPECIES
Gd 157.25 Gd.upf
Dy 162.50 Dy.upf
Hg 200.59 Hg.upf
ATOMIC_POSITIONS crystal
Gd 0.000 0.500 0.000
Gd 0.500 0.000 0.000
Dy 0.000 0.000 0.500
Hg 0.500 0.500 0.500
CELL_PARAMETERS angstrom
4.806 0.000 0.000
0.000 4.806 0.000
0.000 0.000 4.883
```

## Properties
Energy of formation   -0.1801 eV per atom
Total energy   -8.45 eV/atom
Spin magnetization   3.875 μB/atom
DOS(E_F)   1.298 states/eV/atom
Symmetry   P4/mmm

## GdDy2Hg (PBE-GGA)

Data for a relaxed GdDy2Hg crystal. Values from VASP.

Geometry as Quantum ESPRESSO input:
```
&SYSTEM
  ibrav = 0, nat = 4, ntyp = 3
/
ATOMIC_SPECIES
Gd 157.25 Gd.upf
Dy 162.50 Dy.upf
Hg 200.59 Hg.upf
ATOMIC_POSITIONS crystal
Gd 0.000 0.000 0.000
Dy 0.250 0.250 0.250
Dy 0.750 0.750 0.750
Hg 0.500 0.500 0.500
CELL_PARAMETERS angstrom
0.000 3.812 3.812
3.812 0.000 3.812
3.812 3.812 0.000
```

## Properties
Energy of formation   -0.0595 eV per atom
Total energy   -5.96 eV/atom
Spin magnetization   2.044 μB/atom
DOS(E_F)   1.649 states/eV/atom
Symmetry   Fm-3m

Question: Among the records above, which one has the lowest total energy?
Answer: number 2

Copy entry 1 word for word.
## Gd2DyHg (PBE-GGA)

Data for a relaxed Gd2DyHg crystal. Values from VASP.

Geometry as Quantum ESPRESSO input:
```
&SYSTEM
  ibrav = 0, nat = 4, ntyp = 3
/
ATOMIC_SPECIES
Gd 157.25 Gd.upf
Dy 162.50 Dy.upf
Hg 200.59 Hg.upf
ATOMIC_POSITIONS crystal
Gd 0.088 0.088 0.088
Gd 0.912 0.912 0.912
Dy 0.500 0.500 0.500
Hg 0.000 0.000 0.000
CELL_PARAMETERS angstrom
1.760 1.016 11.986
-1.760 1.016 11.986
0.000 -2.032 11.986
```

## Properties
Energy of formation   0.0998 eV per atom
Total energy   -8.17 eV/atom
Spin magnetization   3.726 μB/atom
DOS(E_F)   1.234 states/eV/atom
Symmetry   R-3m

Question: Look up the energy of formation of the second one.
Answer: -0.2258 eV per atom

Please write out number 4 again, unchanged.
## GdDyHg (PBE-GGA)

Data for a relaxed GdDyHg crystal. Values from VASP.

Geometry as Quantum ESPRESSO input:
```
&SYSTEM
  ibrav = 0, nat = 3, ntyp = 3
/
ATOMIC_SPECIES
Gd 157.25 Gd.upf
Dy 162.50 Dy.upf
Hg 200.59 Hg.upf
ATOMIC_POSITIONS crystal
Gd 0.000 0.000 0.000
Dy 0.500 0.500 0.500
Hg 0.250 0.250 0.250
CELL_PARAMETERS angstrom
0.000 3.619 3.619
3.619 0.000 3.619
3.619 3.619 0.000
```

## Properties
Energy of formation   -0.1240 eV per atom
Total energy   -6.45 eV/atom
Spin magnetization   2.640 μB/atom
DOS(E_F)   1.523 states/eV/atom
Symmetry   F-43m